LiPr2CuPt6: relaxed, PBE.

**V**: 19.86 Å³/atom
**ΔE_f**: -639 meV per atom
**Uncorrected energy**: -5.82 eV/atom
**Size of the total moment**: 0.00 μB/f.u.

abc: 8.622 5.397 6.654
angles: 66.07 49.38 90.00
Element x y z (fractional)
Li: 0.000 0.000 0.000
Pr: 0.285 0.751 0.498
Pr: 0.715 0.249 0.502
Cu: 0.500 0.500 0.000
Pt: 0.266 0.768 0.968
Pt: 0.734 0.735 0.033
Pt: 0.072 0.249 0.501
Pt: 0.734 0.232 0.032
Pt: 0.266 0.265 0.967
Pt: 0.928 0.751 0.499